Entry 1:
## LiHoHg2 (PBE)

Data for an optimized crystal structure of LiHoHg2.

Values from the calculation:
**SG**: P4/mmm
**Formation energy**: -1.6 eV/f.u.

Cell lengths 3.468, 5.168, 5.168 Å; angles 90.00, 90.00, 90.00 degrees
Atoms (fractional coordinates):
Li 0.500 0.000 0.000
Hg 0.000 0.000 0.500
Hg 0.000 0.500 0.000
Ho 0.500 0.500 0.500

---

Entry 2:
## LiHo4Hg (PBE)

Data for an optimized crystal structure of LiHo4Hg.

Values from the calculation:
**SG**: P4/mmm
**Formation energy**: 1.2 eV/f.u.

Cell lengths 5.016, 5.016, 7.293 Å; angles 89.99, 89.99, 90.00 degrees
Atoms (fractional coordinates):
Ho 0.501 0.997 0.245
Ho 0.501 0.997 0.751
Ho 0.001 0.497 0.245
Ho 0.001 0.497 0.751
Hg 0.501 0.497 0.998
Li 0.001 0.997 0.498

---

Entry 3:
## LiHoHg6 (PBE)

Data for an optimized crystal structure of LiHoHg6.

Values from the calculation:
**SG**: Amm2
**Formation energy**: -2.1 eV/f.u.

Cell lengths 5.047, 6.524, 6.524 Å; angles 119.96, 90.00, 90.00 degrees
Atoms (fractional coordinates):
Hg 0.500 0.915 0.580
Hg 0.000 0.579 0.421
Hg 0.500 0.915 0.085
Hg 0.000 0.579 0.908
Hg 0.000 0.092 0.421
Hg 0.500 0.420 0.085
Li 0.500 0.416 0.584
Ho 0.000 0.084 0.916

---

Entry 4:
## LiHoHg3 (PBE)

Data for an optimized crystal structure of LiHoHg3.

Values from the calculation:
**SG**: Cmcm
**Formation energy**: -1.8 eV/f.u.

Cell lengths 4.813, 4.374, 11.787 Å; angles 100.69, 114.09, 90.00 degrees
Atoms (fractional coordinates):
Li 0.746 0.248 0.496
Li 0.254 0.752 0.504
Hg 0.421 0.336 0.671
Hg 0.651 0.951 0.901
Hg 0.089 0.170 0.339
Hg 0.579 0.664 0.329
Hg 0.911 0.830 0.661
Hg 0.349 0.049 0.099
Ho 0.122 0.436 0.872
Ho 0.878 0.564 0.128

---

Entry 5:
## Li2HoHg3 (PBE)

Data for an optimized crystal structure of Li2HoHg3.

Values from the calculation:
**SG**: P4/mmm
**Formation energy**: -2.3 eV/f.u.

Cell lengths 3.451, 3.451, 10.444 Å; angles 90.00, 90.00, 90.00 degrees
Site moments in Bohr magnetons follow the coordinates.
Atoms (fractional coordinates):
Li 0.500 0.500 0.154  0.00
Li 0.500 0.500 0.846  0.00
Hg 0.000 0.000 0.000  0.00
Hg 0.000 0.000 0.696  0.00
Hg 0.000 0.000 0.304  0.00
Ho 0.500 0.500 0.500  0.15

---

Entry 6:
## LiHo2Hg2 (PBE)

Data for an optimized crystal structure of LiHo2Hg2.

Values from the calculation:
**SG**: Ibam
**Formation energy**: -1.3 eV/f.u.

Cell lengths 5.740, 7.307, 7.670 Å; angles 118.45, 111.98, 90.00 degrees
Atoms (fractional coordinates):
Hg 0.080 0.868 0.161
Hg 0.420 0.708 0.839
Hg 0.920 0.132 0.839
Hg 0.580 0.292 0.161
Li 0.250 0.500 0.000
Li 0.750 0.500 0.000
Ho 0.322 0.998 0.645
Ho 0.178 0.353 0.355
Ho 0.678 0.002 0.355
Ho 0.822 0.647 0.645

---

Entry 7:
## LiHoHg (PBE)

Data for an optimized crystal structure of LiHoHg.

Values from the calculation:
**SG**: I4mm
**Formation energy**: -0.8 eV/f.u.

Cell lengths 3.781, 3.781, 5.459 Å; angles 110.26, 110.26, 90.00 degrees
Atoms (fractional coordinates):
Hg 0.939 0.939 0.878
Li 0.298 0.298 0.595
Ho 0.613 0.613 0.226

---

Entry 8:
## LiHoHg2 (PBE)

Data for an optimized crystal structure of LiHoHg2.

Values from the calculation:
**SG**: P4/mmm
**Formation energy**: -1.6 eV/f.u.

Cell lengths 3.486, 3.486, 7.225 Å; angles 90.00, 90.00, 90.00 degrees
Site moments in Bohr magnetons follow the coordinates.
Atoms (fractional coordinates):
Li 0.500 0.500 0.000  0.00
Hg 0.000 0.000 0.222  0.01
Hg 0.000 0.000 0.778  0.01
Ho 0.500 0.500 0.500  0.15

---

Entry 9:
## LiHoHg4 (PBE)

Data for an optimized crystal structure of LiHoHg4.

Values from the calculation:
**SG**: C2/m
**Formation energy**: -1.9 eV/f.u.

Cell lengths 3.844, 5.456, 7.638 Å; angles 102.24, 75.43, 69.37 degrees
Atoms (fractional coordinates):
Ho 0.500 0.500 0.500
Hg 0.182 0.481 0.155
Hg 0.653 0.011 0.682
Hg 0.347 0.989 0.318
Hg 0.818 0.519 0.845
Li 0.000 0.000 0.000

---

Entry 10:
## LiHoHg2 (PBE)

Data for an optimized crystal structure of LiHoHg2.

Values from the calculation:
**SG**: R3m
**Formation energy**: -1.1 eV/f.u.

Cell lengths 3.823, 3.823, 7.969 Å; angles 76.12, 76.12, 60.00 degrees
Atoms (fractional coordinates):
Ho 0.668 0.668 0.997
Hg 0.239 0.239 0.283
Hg 0.095 0.095 0.715
Li 0.499 0.499 0.504

---

Entry 11:
## Li3HoHg4 (PBE)

Data for an optimized crystal structure of Li3HoHg4.

Values from the calculation:
**SG**: R-3m
**Formation energy**: -3.0 eV/f.u.

Cell lengths 4.866, 4.866, 8.517 Å; angles 73.40, 73.40, 60.00 degrees
Atoms (fractional coordinates):
Hg 0.617 0.617 0.149
Hg 0.128 0.128 0.616
Hg 0.383 0.383 0.851
Hg 0.872 0.872 0.384
Li 0.500 0.500 0.500
Li 0.753 0.753 0.742
Li 0.247 0.247 0.258
Ho 0.000 0.000 0.000

---

Entry 12:
## LiHoHg2 (PBE)

Data for an optimized crystal structure of LiHoHg2.

Values from the calculation:
**SG**: Fm-3m
**Formation energy**: -1.8 eV/f.u.

Cell lengths 5.002, 5.002, 5.002 Å; angles 60.00, 60.00, 60.00 degrees
Atoms (fractional coordinates):
Ho 0.500 0.500 0.500
Li 0.000 0.000 0.000
Hg 0.750 0.750 0.750
Hg 0.250 0.250 0.250

---

Entry 13:
## Li2HoHg (PBE)

Data for an optimized crystal structure of Li2HoHg.

Values from the calculation:
**SG**: P4/mmm
**Formation energy**: -0.5 eV/f.u.

Cell lengths 3.563, 3.563, 6.749 Å; angles 90.00, 90.00, 90.00 degrees
Atoms (fractional coordinates):
Hg 0.500 0.500 0.000
Li 0.000 0.000 0.199
Li 0.000 0.000 0.801
Ho 0.500 0.500 0.500

---

Entry 14:
## Li3Ho2Hg4 (PBE)

Data for an optimized crystal structure of Li3Ho2Hg4.

Values from the calculation:
**SG**: P-1
**Formation energy**: -3.3 eV/f.u.

Cell lengths 4.847, 5.091, 9.092 Å; angles 81.64, 89.95, 61.57 degrees
Atoms (fractional coordinates):
Li 0.639 0.723 0.573
Li 0.000 0.000 0.000
Li 0.361 0.277 0.427
Ho 0.695 0.609 0.228
Ho 0.305 0.391 0.772
Hg 0.044 0.910 0.353
Hg 0.956 0.090 0.647
Hg 0.647 0.708 0.888
Hg 0.353 0.292 0.112

---

Entry 15:
## LiHo2Hg (PBE)

Data for an optimized crystal structure of LiHo2Hg.

Values from the calculation:
**SG**: P4/mmm
**Formation energy**: -0.9 eV/f.u.

Cell lengths 3.781, 5.124, 5.124 Å; angles 90.00, 90.00, 90.00 degrees
Atoms (fractional coordinates):
Hg 0.500 0.500 0.500
Ho 0.000 0.500 0.000
Ho 0.000 0.000 0.500
Li 0.500 0.000 0.000

---

Entry 16:
## Li2HoHg7 (PBE)

Data for an optimized crystal structure of Li2HoHg7.

Values from the calculation:
**SG**: P3m1
**Formation energy**: -2.2 eV/f.u.

Cell lengths 4.983, 4.983, 11.191 Å; angles 90.00, 90.00, 120.00 degrees
Atoms (fractional coordinates):
Hg 0.667 0.333 0.571
Hg 0.333 0.667 0.428
Hg 0.333 0.667 0.899
Hg 0.000 0.000 0.305
Hg 0.667 0.333 0.943
Hg 0.000 0.000 0.738
Hg 0.333 0.667 0.166
Ho 0.000 0.000 0.029
Li 0.667 0.333 0.242
Li 0.333 0.667 0.663

---

Entry 17:
## LiHo2Hg4 (PBE)

Data for an optimized crystal structure of LiHo2Hg4.

Values from the calculation:
**SG**: I4/mmm
**Formation energy**: -1.2 eV/f.u.

Cell lengths 4.759, 4.759, 8.454 Å; angles 106.35, 106.35, 90.00 degrees
Atoms (fractional coordinates):
Ho 0.364 0.364 0.729
Ho 0.636 0.636 0.271
Hg 0.000 0.500 0.000
Hg 0.828 0.828 0.657
Hg 0.172 0.172 0.343
Hg 0.500 0.000 0.000
Li 0.000 0.000 0.000

---

Entry 18:
## LiHo4Hg7 (PBE)

Data for an optimized crystal structure of LiHo4Hg7.

Values from the calculation:
**SG**: C2/m
**Formation energy**: -3.8 eV/f.u.

Cell lengths 5.232, 9.670, 6.920 Å; angles 78.82, 67.79, 74.31 degrees
Atoms (fractional coordinates):
Hg 0.924 0.335 0.818
Hg 0.500 0.000 0.000
Hg 0.362 0.532 0.743
Hg 0.076 0.665 0.182
Hg 0.638 0.468 0.257
Hg 0.195 0.079 0.530
Hg 0.805 0.921 0.470
Ho 0.420 0.776 0.385
Ho 0.265 0.315 0.155
Ho 0.735 0.685 0.845
Ho 0.580 0.224 0.615
Li 0.000 0.000 0.000

---

Entry 19:
## LiHoLuHg (PBE)

Data for an optimized crystal structure of LiHoLuHg.

Values from the calculation:
**SG**: F-43m
**Formation energy**: -0.9 eV/f.u.

Cell lengths 5.157, 5.157, 5.157 Å; angles 60.00, 60.00, 60.00 degrees
Atoms (fractional coordinates):
Li 0.000 0.000 0.000
Ho 0.750 0.750 0.750
Lu 0.250 0.250 0.250
Hg 0.500 0.500 0.500

---

Entry 20:
## Li2HoMgHg4 (PBE)

Data for an optimized crystal structure of Li2HoMgHg4.

Values from the calculation:
**SG**: R-3m
**Formation energy**: -2.8 eV/f.u.

Cell lengths 4.803, 4.803, 8.968 Å; angles 74.47, 74.47, 60.00 degrees
Atoms (fractional coordinates):
Li 0.242 0.242 0.274
Li 0.758 0.758 0.726
Hg 0.384 0.384 0.848
Hg 0.877 0.877 0.370
Hg 0.616 0.616 0.152
Hg 0.123 0.123 0.630
Ho 0.000 0.000 0.000
Mg 0.500 0.500 0.500